# 1
{"formula": "Tb2SmGe2Pt7", "functional": "PBE", "state": "relaxed", "e_form_mev_per_atom": -952, "crystal_system": "monoclinic", "magnetic_moment_mub_per_cell": 0.00, "lattice_angstrom": [[4.086, 0.022, -0.059], [0.027, 4.086, -0.059], [1.811, 1.809, 13.881]], "species": ["Pt", "Ge", "Tb", "Ge", "Pt", "Pt", "Tb", "Pt", "Pt", "Pt", "Sm", "Pt"], "fractional_positions": [[0.063, 0.563, 0.841], [0.397, 0.397, 0.260], [0.124, 0.124, 0.641], [0.603, 0.603, 0.740], [0.937, 0.437, 0.159], [0.364, 0.364, 0.433], [0.876, 0.876, 0.359], [0.500, 0.500, 0.000], [0.437, 0.937, 0.159], [0.563, 0.063, 0.841], [0.000, 0.000, 0.000], [0.636, 0.636, 0.567]]}

***

# 2
{"formula": "HRhS2", "functional": "PBE", "state": "relaxed", "crystal_system": "monoclinic", "magnetic_moment_mub_per_cell": 0.00, "e_tot_ev_per_atom": -4.896, "lattice_angstrom": [[-12.309, 0.253, -1.286], [-0.765, -6.072, -2.611], [0.230, -2.970, 5.950]], "species": ["Rh", "S", "H", "H", "Rh", "S", "S", "S", "S", "S", "Rh", "H", "Rh", "S", "S", "Rh", "S", "S", "Rh", "S", "S", "S", "H", "H", "S", "H", "S", "Rh", "H", "S", "Rh", "H"], "fractional_positions": [[0.828, 0.045, 0.250], [0.750, 0.749, 0.249], [0.859, 0.437, 0.577], [0.141, 0.563, 0.423], [0.612, 0.185, 0.327], [0.184, 0.464, 0.267], [0.445, 0.469, 0.602], [0.684, 0.233, 0.036], [0.929, 0.319, 0.312], [0.250, 0.251, 0.751], [0.172, 0.955, 0.750], [0.405, 0.366, 0.062], [0.672, 0.750, 0.545], [0.945, 0.898, 0.031], [0.816, 0.536, 0.733], [0.888, 0.827, 0.685], [0.250, 0.914, 0.414], [0.055, 0.102, 0.969], [0.328, 0.250, 0.455], [0.750, 0.086, 0.586], [0.555, 0.531, 0.398], [0.316, 0.767, 0.964], [0.905, 0.438, 0.134], [0.641, 0.077, 0.937], [0.429, 0.188, 0.181], [0.595, 0.634, 0.938], [0.571, 0.812, 0.819], [0.112, 0.173, 0.315], [0.095, 0.562, 0.866], [0.071, 0.681, 0.688], [0.388, 0.815, 0.673], [0.359, 0.923, 0.063]]}

***

# 3
{"formula": "ScReGe2Mo", "functional": "PBE", "state": "relaxed", "e_form_mev_per_atom": 1862, "crystal_system": "tetragonal", "magnetic_moment_mub_per_cell": 1.16, "lattice_angstrom": [[4.806, 0.000, 0.000], [0.000, 4.650, 0.000], [0.000, 0.000, 4.806]], "species": ["Re", "Ge", "Sc", "Ge", "Mo"], "fractional_positions": [[0.000, 0.500, 0.000], [0.500, 0.000, 0.000], [0.000, 0.000, 0.000], [0.000, 0.000, 0.500], [0.500, 0.500, 0.500]]}

***

# 4
{"formula": "Ac2Pd3Pb2", "functional": "PBE", "state": "relaxed", "e_form_mev_per_atom": -625, "crystal_system": "cubic", "magnetic_moment_mub_per_cell": 0.00, "lattice_angstrom": [[-5.845, -4.513, 2.903], [4.669, -4.400, -4.669], [4.282, 2.957, 5.990]], "species": ["Pb", "Pb", "Pd", "Pd", "Pd", "Ac", "Ac", "Pd", "Pd", "Ac", "Pd", "Pb", "Ac", "Pb"], "fractional_positions": [[0.089, 0.589, 0.589], [0.411, 0.500, 0.000], [0.750, 0.481, 0.231], [0.519, 0.269, 0.750], [0.250, 0.019, 0.269], [0.990, 0.500, 0.000], [0.510, 0.010, 0.010], [0.769, 0.750, 0.019], [0.981, 0.231, 0.250], [0.500, 0.490, 0.500], [0.731, 0.250, 0.481], [0.000, 0.000, 0.911], [0.000, 0.000, 0.490], [0.500, 0.911, 0.500]]}